Entry 1:
Density functional theory data (PBE-GGA) for a relaxed structure of BaNdIn2Pd4.

Cell and atoms, written as POSCAR:
```
BaNdIn2Pd4
1.0
-0.281 3.838 2.654
-3.720 -2.790 -0.476
2.915 -5.231 7.874
Pd In Nd Ba
4 2 1 1
Direct
0.333 0.667 0.295 Pd
0.000 0.000 0.843 Pd
0.333 0.667 0.705 Pd
0.000 0.000 0.157 Pd
0.667 0.333 0.769 In
0.667 0.333 0.231 In
0.333 0.667 0.000 Nd
0.000 0.000 0.500 Ba
```

Properties
**Total energy**: -38.4 eV/cell
**Space group**: P-6m2 (187)

=====

Entry 2:
Density functional theory data (PBE-GGA) for a relaxed structure of BaNdInSe3.

Cell and atoms, written as POSCAR:
```
BaNdInSe3
1.0
2.218 -7.706 0.000
2.218 7.706 0.000
0.000 0.000 10.662
Se In Ba Nd
6 2 2 2
Direct
0.137 0.863 0.461 Se
0.137 0.863 0.039 Se
0.863 0.137 0.961 Se
0.608 0.392 0.750 Se
0.863 0.137 0.539 Se
0.392 0.608 0.250 Se
0.981 0.019 0.750 In
0.019 0.981 0.250 In
0.261 0.739 0.750 Ba
0.739 0.261 0.250 Ba
0.500 0.500 0.000 Nd
0.500 0.500 0.500 Nd
```

Properties
**Total energy**: -55.4 eV/cell
**Space group**: Cmcm (63)

=====

Entry 3:
Density functional theory data (PBE-GGA) for a relaxed structure of Ba2NdInTe5.

Cell and atoms, written as POSCAR:
```
Ba2NdInTe5
1.0
2.420 10.203 -1.356
-6.574 -8.154 1.449
1.116 1.623 14.200
Te Ba Nd In
10 4 2 2
Direct
0.811 0.189 0.860 Te
0.141 0.859 0.002 Te
0.792 0.208 0.166 Te
0.189 0.811 0.360 Te
0.208 0.792 0.666 Te
0.859 0.141 0.502 Te
0.547 0.453 0.552 Te
0.996 0.004 0.261 Te
0.004 0.996 0.761 Te
0.453 0.547 0.052 Te
0.382 0.618 0.682 Ba
0.629 0.371 0.817 Ba
0.371 0.629 0.317 Ba
0.618 0.382 0.182 Ba
0.290 0.710 0.017 Nd
0.710 0.290 0.517 Nd
0.056 0.944 0.435 In
0.944 0.056 0.935 In
```

Properties
**Total energy**: -77.7 eV/cell
**Space group**: Cmc2_1 (36)

=====

Entry 4:
Density functional theory data (PBE-GGA) for a relaxed structure of BaInNi5.

Cell and atoms, written as POSCAR:
```
BaInNi5
1.0
2.517 1.453 10.132
-2.517 1.453 10.132
0.000 -2.906 10.132
Ba Ni In
2 10 2
Direct
0.000 0.000 0.000 Ba
0.500 0.500 0.500 Ba
0.433 0.931 0.433 Ni
0.202 0.202 0.202 Ni
0.335 0.335 0.335 Ni
0.567 0.069 0.567 Ni
0.069 0.567 0.567 Ni
0.931 0.433 0.433 Ni
0.433 0.433 0.931 Ni
0.665 0.665 0.665 Ni
0.798 0.798 0.798 Ni
0.567 0.567 0.069 Ni
0.110 0.110 0.110 In
0.890 0.890 0.890 In
```

Properties
**Total energy**: -65.0 eV/cell
**Space group**: R-3m (166)

=====

Entry 5:
Density functional theory data (PBE-GGA) for a relaxed structure of BaIn2NiPt.

Cell and atoms, written as POSCAR:
```
BaIn2NiPt
1.0
4.725 0.000 0.000
0.000 4.725 0.000
0.000 0.000 10.805
In Pt Ba Ni
4 2 2 2
Direct
0.500 0.500 0.500 In
0.000 0.500 0.895 In
0.000 0.000 0.500 In
0.500 0.000 0.105 In
0.500 0.000 0.363 Pt
0.000 0.500 0.637 Pt
0.500 0.000 0.765 Ba
0.000 0.500 0.235 Ba
0.000 0.000 0.000 Ni
0.500 0.500 0.000 Ni
```

Properties
**Total energy**: -42.5 eV/cell
**Space group**: P4/nmm (129)

=====

Entry 6:
Density functional theory data (PBE-GGA) for a relaxed structure of Ba2InNi4Sn.

Cell and atoms, written as POSCAR:
```
Ba2InNi4Sn
1.0
-2.857 1.652 -2.976
2.169 -3.782 -0.863
-8.238 -5.795 4.693
Ni Ba Sn In
4 2 1 1
Direct
0.333 0.667 0.526 Ni
0.333 0.667 0.973 Ni
0.667 0.333 0.027 Ni
0.667 0.333 0.474 Ni
0.333 0.667 0.250 Ba
0.667 0.333 0.750 Ba
0.000 0.000 0.000 Sn
0.000 0.000 0.500 In
```

Properties
**Total energy**: -34.8 eV/cell
**Space group**: P-3m1 (164)

=====

Entry 7:
Density functional theory data (PBE-GGA) for a relaxed structure of BaInNi2Sn.

Cell and atoms, written as POSCAR:
```
BaInNi2Sn
1.0
4.623 0.000 0.000
0.000 4.623 0.000
0.000 0.000 10.622
Sn In Ba Ni
2 2 2 4
Direct
0.000 0.500 0.887 Sn
0.500 0.000 0.113 Sn
0.000 0.000 0.500 In
0.500 0.500 0.500 In
0.500 0.000 0.759 Ba
0.000 0.500 0.241 Ba
0.000 0.500 0.633 Ni
0.000 0.000 0.000 Ni
0.500 0.500 0.000 Ni
0.500 0.000 0.367 Ni
```

Properties
**Total energy**: -42.5 eV/cell
**Space group**: P4/nmm (129)

=====

Entry 8:
Density functional theory data (PBE-GGA) for a relaxed structure of Ba2InTcO6.

Cell and atoms, written as POSCAR:
```
Ba2InTcO6
1.0
5.829 0.000 0.000
-0.003 5.833 0.000
-0.001 -0.002 8.255
O Ba In Tc
12 4 2 2
Direct
0.694 0.784 0.501 O
0.187 0.809 0.000 O
0.951 0.050 0.761 O
0.215 0.793 0.500 O
0.206 0.315 0.499 O
0.685 0.306 0.500 O
0.708 0.813 0.999 O
0.192 0.287 0.001 O
0.451 0.550 0.261 O
0.713 0.292 0.000 O
0.949 0.050 0.239 O
0.449 0.549 0.739 O
0.450 0.050 0.250 Ba
0.450 0.050 0.750 Ba
0.950 0.550 0.250 Ba
0.950 0.550 0.750 Ba
0.950 0.050 0.500 In
0.450 0.550 0.000 In
0.950 0.050 0.000 Tc
0.450 0.550 0.500 Tc
```

Properties
**Total energy**: -134.2 eV/cell
**Space group**: P-1 (2)

=====

Entry 9:
Density functional theory data (PBE-GGA) for a relaxed structure of Ba3In2TcO9.

Cell and atoms, written as POSCAR:
```
Ba3In2TcO9
1.0
-1.125 -4.910 -3.063
-0.559 0.006 5.869
-6.905 1.994 -0.659
O Tc Ba In
9 1 3 2
Direct
0.156 0.312 0.847 O
0.688 0.844 0.847 O
0.844 0.688 0.153 O
0.312 0.156 0.153 O
0.156 0.844 0.847 O
0.500 0.000 0.500 O
0.500 0.500 0.500 O
0.844 0.156 0.153 O
0.000 0.500 0.500 O
0.000 0.000 0.000 Tc
0.333 0.667 0.183 Ba
0.667 0.333 0.817 Ba
0.000 0.000 0.500 Ba
0.667 0.333 0.333 In
0.333 0.667 0.667 In
```

Properties
**Total energy**: -96.5 eV/cell
**Space group**: P-3m1 (164)

=====

Entry 10:
Density functional theory data (PBE-GGA) for a relaxed structure of Ba3Zn5In2O11.

Cell and atoms, written as POSCAR:
```
Ba3Zn5In2O11
1.0
6.840 1.140 6.452
2.248 -1.199 -9.123
-4.043 8.074 2.859
O Ba In Zn
22 6 4 10
Direct
0.333 0.335 0.667 O
0.029 0.686 0.343 O
0.003 0.669 0.997 O
0.657 0.314 0.971 O
0.003 0.006 0.334 O
0.000 0.000 0.000 O
0.003 0.669 0.671 O
0.333 0.665 0.667 O
0.002 0.335 0.667 O
0.666 0.669 0.997 O
0.003 0.331 0.334 O
0.003 0.331 0.997 O
0.666 0.994 0.997 O
0.329 0.331 0.997 O
0.666 0.669 0.671 O
0.333 0.665 0.998 O
0.329 0.994 0.997 O
0.003 0.006 0.671 O
0.657 0.314 0.343 O
0.500 0.000 0.500 O
0.657 0.686 0.343 O
0.329 0.331 0.334 O
0.294 0.000 0.706 Ba
0.706 0.000 0.294 Ba
0.706 0.000 0.706 Ba
0.294 0.000 0.294 Ba
0.294 0.588 0.294 Ba
0.706 0.412 0.706 Ba
0.504 0.669 0.835 In
0.165 0.669 0.835 In
0.165 0.331 0.496 In
0.165 0.331 0.835 In
0.249 0.166 0.083 Zn
0.582 0.500 0.418 Zn
0.917 0.834 0.083 Zn
0.918 0.836 0.418 Zn
0.918 0.500 0.082 Zn
0.917 0.834 0.751 Zn
0.918 0.500 0.418 Zn
0.917 0.166 0.083 Zn
0.582 0.164 0.082 Zn
0.582 0.500 0.082 Zn
```

Properties
**Total energy**: -220.2 eV/cell
**Space group**: F-43m (216)

=====

Entry 11:
Density functional theory data (PBE-GGA) for a relaxed structure of BaZn3In2O7.

Cell and atoms, written as POSCAR:
```
BaZn3In2O7
1.0
6.377 0.000 0.000
-3.188 5.522 0.000
0.000 0.000 10.321
In O Zn Ba
4 14 6 2
Direct
0.333 0.667 0.859 In
0.000 0.000 0.418 In
0.000 0.000 0.918 In
0.667 0.333 0.359 In
0.497 0.503 0.743 O
0.825 0.650 0.486 O
0.825 0.175 0.486 O
0.993 0.497 0.243 O
0.497 0.993 0.743 O
0.175 0.825 0.986 O
0.503 0.497 0.243 O
0.175 0.350 0.986 O
0.503 0.007 0.243 O
0.007 0.503 0.743 O
0.650 0.825 0.986 O
0.350 0.175 0.486 O
0.000 0.000 0.717 O
0.000 0.000 0.217 O
0.824 0.176 0.676 Zn
0.176 0.353 0.176 Zn
0.647 0.824 0.176 Zn
0.824 0.647 0.676 Zn
0.353 0.176 0.676 Zn
0.176 0.824 0.176 Zn
0.667 0.333 0.997 Ba
0.333 0.667 0.497 Ba
```

Properties
**Total energy**: -134.6 eV/cell
**Space group**: P6_3mc (186)

=====

Entry 12:
Density functional theory data (PBE-GGA) for a relaxed structure of BaPaIn.

Cell and atoms, written as POSCAR:
```
BaPaIn
1.0
0.000 3.757 3.757
3.757 0.000 3.757
3.757 3.757 0.000
In Ba Pa
1 1 1
Direct
0.250 0.250 0.250 In
0.000 0.000 0.000 Ba
0.750 0.750 0.750 Pa
```

Properties
**Total energy**: -10.9 eV/cell
**Space group**: F-43m (216)

=====

Entry 13:
Density functional theory data (PBE-GGA) for a relaxed structure of BaIn2PdPb.

Cell and atoms, written as POSCAR:
```
BaIn2PdPb
1.0
-5.778 -3.433 1.662
-6.185 2.843 -1.264
5.949 -1.172 -3.341
Pb Ba Pd In
1 1 1 2
Direct
0.585 0.585 0.000 Pb
0.995 0.995 0.000 Ba
0.352 0.352 0.000 Pd
0.753 0.253 0.500 In
0.253 0.753 0.500 In
```

Properties
**Total energy**: -18.8 eV/cell
**Space group**: I4mm (107)

=====

Entry 14:
Density functional theory data (PBE-GGA) for a relaxed structure of BaInPdPb.

Cell and atoms, written as POSCAR:
```
BaInPdPb
1.0
4.615 0.000 0.000
0.000 8.182 0.000
-2.306 0.000 6.096
Ba In Pb Pd
2 2 2 2
Direct
0.557 0.000 0.113 Ba
0.445 0.500 0.891 Ba
0.161 0.694 0.322 In
0.161 0.306 0.322 In
0.843 0.198 0.685 Pb
0.843 0.802 0.685 Pb
0.275 0.000 0.551 Pd
0.715 0.500 0.430 Pd
```

Properties
**Total energy**: -31.4 eV/cell
**Space group**: Amm2 (38)

=====

Entry 15:
Density functional theory data (PBE-GGA) for a relaxed structure of BaInPd2Pb.

Cell and atoms, written as POSCAR:
```
BaInPd2Pb
1.0
4.916 0.000 0.000
0.000 4.916 0.000
0.000 0.000 10.763
In Pb Pd Ba
2 2 4 2
Direct
0.000 0.500 0.887 In
0.500 0.000 0.113 In
0.500 0.500 0.500 Pb
0.000 0.000 0.500 Pb
0.000 0.500 0.635 Pd
0.500 0.500 0.000 Pd
0.500 0.000 0.365 Pd
0.000 0.000 0.000 Pd
0.500 0.000 0.766 Ba
0.000 0.500 0.234 Ba
```

Properties
**Total energy**: -43.0 eV/cell
**Space group**: P4/nmm (129)

=====

Entry 16:
Density functional theory data (PBE-GGA) for a relaxed structure of BaInPt2Pb.

Cell and atoms, written as POSCAR:
```
BaInPt2Pb
1.0
4.876 0.000 0.000
0.000 4.876 0.000
0.000 0.000 10.849
Pt Ba In Pb
4 2 2 2
Direct
0.500 0.500 0.000 Pt
0.500 0.000 0.381 Pt
0.000 0.500 0.619 Pt
0.000 0.000 0.000 Pt
0.500 0.000 0.757 Ba
0.000 0.500 0.243 Ba
0.500 0.500 0.500 In
0.000 0.000 0.500 In
0.500 0.000 0.124 Pb
0.000 0.500 0.876 Pb
```

Properties
**Total energy**: -46.8 eV/cell
**Energy above the lowest structure with this stoichiometry**: 19 meV per atom
**Space group**: P4/nmm (129)

=====

Entry 17:
Density functional theory data (PBE-GGA) for a relaxed structure of BaInPt2Pb.

Cell and atoms, written as POSCAR:
```
BaInPt2Pb
1.0
-1.992 0.540 -4.444
1.363 -4.560 -1.165
-9.331 -3.742 3.728
Pb Pt Ba In
2 4 2 2
Direct
0.000 0.000 0.500 Pb
0.500 0.500 0.500 Pb
0.500 0.500 0.000 Pt
0.500 0.000 0.365 Pt
0.000 0.000 0.000 Pt
0.000 0.500 0.635 Pt
0.000 0.500 0.234 Ba
0.500 0.000 0.766 Ba
0.500 0.000 0.113 In
0.000 0.500 0.887 In
```

Properties
**Total energy**: -46.9 eV/cell
**Energy above the lowest structure with this stoichiometry**: 0 meV per atom
**Space group**: P4/nmm (129)

=====

Entry 18:
Density functional theory data (PBE-GGA) for a relaxed structure of BaIn3Pd.

Cell and atoms, written as POSCAR:
```
BaIn3Pd
1.0
-0.887 -3.058 -6.003
-2.133 -5.590 3.162
-5.246 3.463 2.583
In Ba Pd
6 2 2
Direct
0.756 0.000 0.756 In
0.756 0.500 0.756 In
0.162 0.250 0.838 In
0.838 0.750 0.162 In
0.244 0.000 0.244 In
0.244 0.500 0.244 In
0.260 0.750 0.740 Ba
0.740 0.250 0.260 Ba
0.606 0.750 0.394 Pd
0.394 0.250 0.606 Pd
```

Properties
**Total energy**: -35.8 eV/cell
**Space group**: Cmcm (63)

=====

Entry 19:
Density functional theory data (PBE-GGA) for a relaxed structure of BaIn5PdPt.

Cell and atoms, written as POSCAR:
```
BaIn5PdPt
1.0
-2.412 -4.828 4.767
1.052 3.614 6.139
-3.839 -0.073 -6.092
In Pd Pt Ba
5 1 1 1
Direct
0.151 0.345 0.806 In
0.459 0.653 0.806 In
0.501 0.001 0.500 In
0.540 0.345 0.194 In
0.847 0.653 0.194 In
0.739 0.239 0.500 Pd
0.261 0.761 0.500 Pt
0.002 0.002 0.000 Ba
```

Properties
**Total energy**: -30.9 eV/cell
**Space group**: Imm2 (44)

=====

Entry 20:
Density functional theory data (PBE-GGA) for a relaxed structure of BaIn2SiPd.

Cell and atoms, written as POSCAR:
```
BaIn2SiPd
1.0
-2.325 2.325 5.717
2.325 -2.325 5.717
2.325 2.325 -5.717
Pd In Si Ba
1 2 1 1
Direct
0.237 0.237 0.000 Pd
0.869 0.369 0.500 In
0.369 0.869 0.500 In
0.026 0.026 0.000 Si
0.616 0.616 0.000 Ba
```

Properties
**Total energy**: -20.5 eV/cell
**Space group**: I4mm (107)